VASP calculation (PBE) on a geometry-optimized AcPr3Sm8 structure.

The structure in extended XYZ format:
```
12
Lattice="-3.255 5.860 5.960 3.255 -5.860 5.960 3.255 5.860 -5.960" Properties=species:S:1:pos:R:3 pbc="T T T"
Ac 0.000 0.000 0.000
Pr 3.255 3.025 0.000
Pr 0.000 5.860 0.000
Pr 0.000 2.834 5.960
Sm 3.255 -2.911 3.848
Sm 1.665 5.860 -2.864
Sm 1.590 0.000 3.095
Sm 0.000 2.949 2.112
Sm 3.255 2.911 3.848
Sm 1.665 5.860 2.864
Sm 1.590 0.000 8.824
Sm 0.000 8.770 2.112
```

Calculated values
- spin magnetization (μB per formula unit) = 0.00
- total DFT energy (no corrections) (eV/atom) = -4.392
- D(E_F) (states/eV/atom) = 1.314

VASP calculation (PBE) on a geometry-optimized ZrNpS2 structure.

The structure in extended XYZ format:
```
4
Lattice="1.899 1.097 8.180 -1.899 1.097 8.180 0.000 -2.193 8.180" Properties=species:S:1:pos:R:3 pbc="T T T"
Zr 0.000 0.000 0.000
Np 0.000 0.000 12.270
S 0.000 0.000 2.499
S 0.000 0.000 22.040
```

Calculated values
- spin magnetization (μB per formula unit) = 4.80
- total DFT energy (no corrections) (eV/atom) = -8.214
- D(E_F) (states/eV/atom) = 2.492
- distance to the lowest polymorph of the same formula (meV/atom) = 665
- energy relative to the elements, uncorrected (eV per atom) = -0.778

VASP calculation (PBE) on a geometry-optimized CeGaPt3 structure.

The structure in extended XYZ format:
```
10
Lattice="5.512 0.000 0.000 0.000 7.309 0.000 0.000 0.000 5.092" Properties=species:S:1:pos:R:3 pbc="T T T"
Ce 0.000 0.000 0.000
Ce 2.756 3.655 0.000
Ga 0.000 3.655 2.546
Ga 2.756 0.000 2.546
Pt 0.000 3.655 0.000
Pt 0.589 1.276 2.546
Pt 2.167 4.931 2.546
Pt 2.756 0.000 0.000
Pt 3.345 2.378 2.546
Pt 4.922 6.033 2.546
```

Calculated values
- spin magnetization (μB per formula unit) = 0.48
- total DFT energy (no corrections) (eV/atom) = -6.049
- D(E_F) (states/eV/atom) = 0.979
- distance to the lowest polymorph of the same formula (meV/atom) = 270

VASP calculation (PBE) on a geometry-optimized SmSc4Pd5 structure.

The structure in extended XYZ format:
```
10
Lattice="3.308 0.000 0.000 0.000 3.308 0.000 0.000 0.000 17.349" Properties=species:S:1:pos:R:3 pbc="T T T"
Sm 0.000 0.000 0.000
Sc 0.000 0.000 3.637
Sc 0.000 0.000 7.001
Sc 0.000 0.000 10.348
Sc 0.000 0.000 13.712
Pd 1.654 1.654 2.098
Pd 1.654 1.654 5.344
Pd 1.654 1.654 8.675
Pd 1.654 1.654 12.006
Pd 1.654 1.654 15.251
```

Calculated values
- spin magnetization (μB per formula unit) = 0.00
- total DFT energy (no corrections) (eV/atom) = -6.470
- D(E_F) (states/eV/atom) = 0.637

What did the fourth record say?
VASP calculation (PBE) on a geometry-optimized SmSc4Pd5 structure.

The structure in extended XYZ format:
```
10
Lattice="3.308 0.000 0.000 0.000 3.308 0.000 0.000 0.000 17.349" Properties=species:S:1:pos:R:3 pbc="T T T"
Sm 0.000 0.000 0.000
Sc 0.000 0.000 3.637
Sc 0.000 0.000 7.001
Sc 0.000 0.000 10.348
Sc 0.000 0.000 13.712
Pd 1.654 1.654 2.098
Pd 1.654 1.654 5.344
Pd 1.654 1.654 8.675
Pd 1.654 1.654 12.006
Pd 1.654 1.654 15.251
```

Calculated values
- spin magnetization (μB per formula unit) = 0.00
- total DFT energy (no corrections) (eV/atom) = -6.470
- D(E_F) (states/eV/atom) = 0.637